No. 1
First-principles (SCAN) data for CsBa3S at its PBEsol-relaxed geometry, as listed in Alexandria.

Geometry as extended XYZ:
```
5
Lattice="-5.889 1.350 1.963 -0.713 -5.993 1.982 2.273 1.617 5.707" Properties=species:S:1:pos:R:3 pbc="T T T"
Ba 1.137 0.808 2.854
Ba -0.357 -2.997 0.991
Ba -2.944 0.675 0.981
Cs -2.165 -1.513 4.826
S 0.000 0.000 0.000
```

The value obtained for the uncorrected formation energy is -715 meV per atom. The calculation puts the calculated density at 3737 kg/m3. For the spin magnetization, the calculation gives 0.0 μB per cell.

No. 2
First-principles (SCAN) data for In10CuAgS16 at its PBEsol-relaxed geometry, as listed in Alexandria.

Geometry as extended XYZ:
```
28
Lattice="7.586 0.000 0.000 0.000 7.586 0.000 0.000 0.000 10.756" Properties=species:S:1:pos:R:3 pbc="T T T"
S 0.000 1.768 6.604
S 3.793 5.538 1.259
S 3.793 1.792 6.840
S 5.689 0.000 9.441
S 2.048 3.793 9.497
S 1.897 0.000 9.441
S 5.818 0.000 4.152
S 3.793 2.048 1.259
S 0.000 5.689 1.315
S 0.000 1.897 1.315
S 1.768 0.000 4.152
S 1.792 3.793 3.916
S 0.000 5.818 6.604
S 5.538 3.793 9.497
S 5.794 3.793 3.916
S 3.793 5.794 6.840
In 0.000 3.793 8.069
In 1.958 0.000 6.849
In 1.773 3.793 1.353
In 3.793 1.773 9.403
In 5.628 0.000 6.849
In 0.000 1.958 3.907
In 3.793 0.000 2.686
In 0.000 5.628 3.907
In 5.813 3.793 1.353
In 3.793 5.813 9.403
Cu 0.000 0.000 0.000
Ag 3.793 3.793 5.378
```

The value obtained for the uncorrected formation energy is -663 meV per atom. The calculation puts the calculated density at 4916 kg/m3. For the spin magnetization, the calculation gives 0.0 μB per cell.